Record 1
DFT (PBE) results for crystalline Zn3CuPd2 at its relaxed geometry.

Output
- E_form (kJ/mol of formula units) = -221.6
- calculated total energy (eV per cell) = -41.20
- offset from the most stable computed form (meV per atom) = 6

a = 4.2893 Å, b = 4.2893 Å, c = 10.6363 Å
α = 90.00°, β = 90.00°, γ = 120.00°
Last column: nearest neighbours and their distance in Å.
Space group P-3m1 (No. 164)
Inequivalent atoms, fractional coordinates:
Zn1 0.0000 0.0000 0.2461 [2 per cell]  5 Pd 2.62-2.70, 3 Cu 2.62
Zn2 0.3333 0.6667 0.4140 [2 per cell]  7 Pd 2.63-2.72, 1 Cu 2.64
Zn3 0.3333 0.6667 0.9182 [2 per cell]  4 Pd 2.62-2.64, 4 Cu 2.63-2.64
Cu1 0.3333 0.6667 0.1662 [2 per cell]  8 Zn 2.62-2.64
Pd1 0.0000 0.0000 0.0000 [1 per cell]  8 Zn 2.62
Pd2 0.0000 0.0000 0.5000 [1 per cell]  8 Zn 2.64-2.70
Pd3 0.3333 0.6667 0.6698 [2 per cell]  8 Zn 2.63-2.72

***

Record 2
DFT (PBE) results for crystalline ZnCu2Pd3 at its relaxed geometry.

Output
- E_form (kJ/mol of formula units) = -172.7
- calculated total energy (eV per cell) = -26.84
- offset from the most stable computed form (meV per atom) = 10

a = 3.0247 Å, b = 3.0247 Å, c = 9.1624 Å
α = 90.00°, β = 90.00°, γ = 90.00°
Last column: nearest neighbours and their distance in Å.
Space group P4/mmm (No. 123)
Inequivalent atoms, fractional coordinates:
Zn1 0.0000 0.0000 0.0000 [1 per cell]  8 Pd 2.63
Cu1 0.0000 0.0000 0.3374 [2 per cell]  8 Pd 2.61-2.64
Pd1 0.5000 0.5000 0.1677 [2 per cell]  4 Zn 2.63, 4 Cu 2.64
Pd2 0.5000 0.5000 0.5000 [1 per cell]  8 Cu 2.61

***

Record 3
DFT (PBE) results for crystalline Zn5Cu2Pd12 at its relaxed geometry.

Output
- E_form (kJ/mol of formula units) = -447.9
- calculated total energy (eV per cell) = -163.04

a = 11.6904 Å, b = 7.6645 Å, c = 6.4785 Å
α = 90.00°, β = 91.10°, γ = 90.00°
Last column: nearest neighbours and their distance in Å.
Space group C2/m (No. 12)
Inequivalent atoms, fractional coordinates:
Zn1 0.0000 0.0000 0.0000 [2 per cell]  10 Pd 2.66-2.91, 2 Zn 2.76
Zn2 0.1980 0.5000 0.5190 [4 per cell]  6 Pd 2.62-2.76, 2 Cu 2.71
Zn3 0.2325 0.0000 0.9361 [4 per cell]  8 Pd 2.52-2.70, 1 Zn 2.76
Cu1 0.0000 0.3171 0.5000 [4 per cell]  8 Pd 2.58-2.77, 2 Zn 2.71, 1 Cu 2.80
Pd1 0.0649 0.5000 0.1887 [4 per cell]  2 Zn 2.52-2.62, 2 Cu 2.58, 6 Pd 2.68-2.80
Pd2 0.0906 0.0000 0.6262 [4 per cell]  3 Zn 2.58-2.66, 5 Pd 2.65-2.84, 2 Cu 2.77
Pd3 0.1249 0.2998 0.8462 [8 per cell]  4 Zn 2.65-2.91, 1 Cu 2.66, 5 Pd 2.70-2.83
Pd4 0.1459 0.1776 0.2570 [8 per cell]  1 Cu 2.58, 5 Pd 2.68-2.84, 3 Zn 2.68-2.73

***

Record 4
DFT (PBE) results for crystalline ZnCu2Pd at its relaxed geometry.

Output
- E_form (kJ/mol of formula units) = -92.4
- calculated total energy (eV per cell) = -31.23

a = 3.7465 Å, b = 3.8086 Å, c = 7.4753 Å
α = 90.00°, β = 90.00°, γ = 90.00°
Last column: nearest neighbours and their distance in Å.
Space group Imm2 (No. 44)
Inequivalent atoms, fractional coordinates:
Zn1 0.0000 0.0000 0.0000 [2 per cell]  8 Cu 2.64-2.67, 4 Pd 2.65-2.66
Cu1 0.0000 0.0000 0.4981 [2 per cell]  4 Cu 2.64-2.67, 4 Pd 2.65-2.66, 4 Zn 2.67
Cu2 0.0000 0.5000 0.7491 [2 per cell]  4 Cu 2.64-2.67, 4 Zn 2.64-2.67, 4 Pd 2.67
Pd1 0.0000 0.5000 0.2492 [2 per cell]  4 Zn 2.65-2.66, 8 Cu 2.65-2.67

***

Record 5
DFT (PBE) results for crystalline Zn3Cu4Pd at its relaxed geometry.

Output
- E_form (kJ/mol of formula units) = -116.4
- calculated total energy (eV per cell) = -53.21
- offset from the most stable computed form (meV per atom) = 0

a = 8.6729 Å, b = 5.3947 Å, c = 4.5239 Å
α = 90.00°, β = 90.00°, γ = 90.00°
Last column: nearest neighbours and their distance in Å.
Space group Pmma (No. 51)
Inequivalent atoms, fractional coordinates:
Zn1 0.0000 0.0000 0.0000 [2 per cell]  8 Cu 2.62-2.64, 2 Zn 2.70, 2 Pd 2.70
Zn2 0.2500 0.0000 0.3541 [2 per cell]  8 Cu 2.58-2.66, 4 Zn 2.70
Zn3 0.2500 0.5000 0.3514 [2 per cell]  8 Cu 2.62-2.68, 2 Pd 2.69, 2 Zn 2.70
Cu1 0.0000 0.2449 0.5000 [4 per cell]  6 Zn 2.62-2.65, 4 Cu 2.64-2.75, 2 Pd 2.65
Cu2 0.2500 0.2451 0.8431 [4 per cell]  6 Zn 2.58-2.68, 4 Cu 2.64-2.75, 2 Pd 2.66
Pd1 0.0000 0.5000 0.0000 [2 per cell]  8 Cu 2.65-2.66, 4 Zn 2.69-2.70

***

Record 6
DFT (PBE) results for crystalline ZnCu6Pd12 at its relaxed geometry.

Output
- E_form (kJ/mol of formula units) = -109.6
- calculated total energy (eV per cell) = -267.90
- offset from the most stable computed form (meV per atom) = 70

a = 9.1375 Å, b = 9.1375 Å, c = 11.5293 Å
α = 90.00°, β = 90.00°, γ = 120.00°
Last column: nearest neighbours and their distance in Å.
Space group R-3 (No. 148, hexagonal axes)
Inequivalent atoms, fractional coordinates:
Zn1 0.0000 0.0000 0.0000 [3 per cell]  6 Cu 2.54, 6 Pd 2.64
Cu1 0.0284 0.5903 0.7017 [18 per cell]  1 Zn 2.54, 7 Pd 2.60-2.81, 2 Cu 2.64
Pd1 0.0279 0.8413 0.8178 [18 per cell]  1 Zn 2.64, 5 Pd 2.64-2.84, 5 Cu 2.65-2.91
Pd2 0.0607 0.2142 0.4111 [18 per cell]  4 Cu 2.60-2.81, 5 Pd 2.69-2.84